(1)
TaBRu2Pt | the Alexandria database | meta-GGA SCAN | single point on PBEsol structure; magnetization = 0.00 μB per atom; energy of formation from the pure elements = 1223 kJ/mol of formula units
1.0
-2.148 1.835 -3.678
-4.098 -0.630 2.079
0.332 4.327 1.965
Ta B Ru Pt
1 1 2 1
Direct
0.000 0.000 0.500
0.500 0.500 0.500
0.500 0.000 0.000
0.000 0.500 0.000
0.000 0.000 0.000


(2)
Mn3O5F | the Alexandria database | meta-GGA SCAN | single point on PBEsol structure; magnetization = 0.66 μB per atom; energy relative to the elements, uncorrected = -2.101 eV per atom; polymorph energy (0 for the lowest one) = 0.113 eV/atom
1.0
-0.222 2.795 0.085
-1.203 0.033 -4.248
-12.849 -1.129 3.629
O F Mn
10 2 6
Direct
0.500 0.078 0.438
0.500 0.022 0.769
0.500 0.425 0.897
0.000 0.980 0.602
0.500 0.482 0.567
0.000 0.978 0.269
0.500 0.020 0.102
0.000 0.575 0.397
0.000 0.922 0.938
0.000 0.518 0.067
0.500 0.466 0.230
0.000 0.534 0.730
0.000 0.215 0.158
0.000 0.210 0.839
0.500 0.715 0.001
0.500 0.785 0.658
0.000 0.285 0.501
0.500 0.790 0.339


(3)
K3SbTe | the Alexandria database | meta-GGA SCAN | single point on PBEsol structure; magnetization = 0.40 μB per atom; energy relative to the elements, uncorrected = -0.232 eV per atom
1.0
6.438 0.000 0.000
0.000 6.438 0.000
0.000 0.000 6.438
K Te Sb
3 1 1
Direct
0.000 0.500 0.000
0.000 0.000 0.500
0.500 0.000 0.000
0.500 0.500 0.500
0.000 0.000 0.000


(4)
Li2BePb | the Alexandria database | meta-GGA SCAN | single point on PBEsol structure; magnetization = 0.04 μB per atom; energy of formation from the pure elements = -13 kJ/mol of formula units; polymorph energy (0 for the lowest one) = 0.128 eV/atom
1.0
3.898 0.000 0.000
0.000 3.898 0.000
-1.949 -1.949 4.219
Be Li Pb
1 2 1
Direct
0.000 0.000 0.000
0.750 0.250 0.500
0.250 0.750 0.500
0.500 0.500 0.000